1.
FePRh2 | PBE-GGA | optimized geometry

Output
symmetry = No. 216
ΔE_f = 0.03 eV/atom

abc: 5.959 5.959 5.959
angles: 90.00 90.00 90.00
Fractional positions:
Fe (0.000, 0.000, 0.000)
Fe (0.000, 0.500, 0.500)
Fe (0.500, 0.000, 0.500)
Fe (0.500, 0.500, 0.000)
P (0.250, 0.250, 0.750)
P (0.250, 0.750, 0.250)
P (0.750, 0.250, 0.250)
P (0.750, 0.750, 0.750)
Rh (0.000, 0.000, 0.500)
Rh (0.000, 0.500, 0.000)
Rh (0.250, 0.250, 0.250)
Rh (0.250, 0.750, 0.750)
Rh (0.500, 0.000, 0.000)
Rh (0.500, 0.500, 0.500)
Rh (0.750, 0.250, 0.750)
Rh (0.750, 0.750, 0.250)

***

2.
CrCdSe2 | PBE-GGA | optimized geometry

Output
symmetry = No. 166
ΔE_f (raw) = -0.23 eV/atom

abc: 3.184 3.184 28.927
angles: 90.00 90.00 120.00
Fractional positions:
Cr (0.000, 0.000, 0.000)
Cr (0.333, 0.667, 0.667)
Cr (0.667, 0.333, 0.333)
Cd (0.000, 0.000, 0.500)
Cd (0.333, 0.667, 0.167)
Cd (0.667, 0.333, 0.833)
Se (0.000, 0.000, 0.278)
Se (0.000, 0.000, 0.722)
Se (0.333, 0.667, 0.389)
Se (0.333, 0.667, 0.945)
Se (0.667, 0.333, 0.055)
Se (0.667, 0.333, 0.611)

***

3.
Pm2Nd6Sm | PBE-GGA | optimized geometry

Output
symmetry = No. 65
ΔE_f = 0.05 eV/atom

abc: 10.070 10.070 3.564
angles: 90.00 90.00 120.30
Fractional positions:
Pm (0.167, 0.833, 0.000)
Pm (0.833, 0.167, 0.000)
Nd (0.166, 0.499, 0.500)
Nd (0.168, 0.168, 0.500)
Nd (0.499, 0.166, 0.500)
Nd (0.501, 0.834, 0.500)
Nd (0.832, 0.832, 0.500)
Nd (0.834, 0.501, 0.500)
Sm (0.500, 0.500, 0.000)

***

4.
Ce2Er2In3 | PBE-GGA | optimized geometry

Output
symmetry = No. 65
ΔE_f = -0.32 eV/atom

abc: 4.504 23.946 3.378
angles: 90.00 90.00 90.00
Fractional positions:
Ce (0.000, 0.215, 0.000)
Ce (0.000, 0.785, 0.000)
Ce (0.500, 0.285, 0.000)
Ce (0.500, 0.715, 0.000)
Er (0.000, 0.071, 0.000)
Er (0.000, 0.929, 0.000)
Er (0.500, 0.429, 0.000)
Er (0.500, 0.571, 0.000)
In (0.000, 0.359, 0.500)
In (0.000, 0.500, 0.500)
In (0.000, 0.641, 0.500)
In (0.500, 0.000, 0.500)
In (0.500, 0.141, 0.500)
In (0.500, 0.859, 0.500)

***

5.
Sr2LiCu3As4 | PBE-GGA | optimized geometry

Output
symmetry = No. 115
ΔE_f = -0.62 eV/atom

abc: 4.353 4.353 10.230
angles: 90.00 90.00 90.00
Fractional positions:
Sr (0.000, 0.500, 0.246)
Sr (0.500, 0.000, 0.754)
Li (0.500, 0.500, 0.000)
Cu (0.000, 0.000, 0.000)
Cu (0.000, 0.500, 0.625)
Cu (0.500, 0.000, 0.375)
As (0.000, 0.000, 0.500)
As (0.000, 0.500, 0.866)
As (0.500, 0.000, 0.134)
As (0.500, 0.500, 0.500)

***

6.
Pm2Nd6Tm3Tl | PBE-GGA | optimized geometry

Output
symmetry = No. 12
ΔE_f = -0.02 eV/atom

abc: 6.212 6.212 11.877
angles: 95.01 95.01 120.10
Fractional positions:
Pm (0.166, 0.834, 0.000)
Pm (0.834, 0.166, 0.000)
Nd (0.089, 0.416, 0.747)
Nd (0.257, 0.257, 0.253)
Nd (0.416, 0.089, 0.747)
Nd (0.584, 0.911, 0.253)
Nd (0.743, 0.743, 0.747)
Nd (0.911, 0.584, 0.253)
Tm (0.000, 0.000, 0.500)
Tm (0.333, 0.667, 0.500)
Tm (0.667, 0.333, 0.500)
Tl (0.500, 0.500, 0.000)

***

7.
La8Tb2Tm | PBE-GGA | optimized geometry

Output
symmetry = No. 12
ΔE_f = 0.13 eV/atom

abc: 9.609 9.609 6.060
angles: 105.50 105.50 122.37
Fractional positions:
La (0.095, 0.332, 0.683)
La (0.205, 0.795, 0.000)
La (0.332, 0.095, 0.683)
La (0.419, 0.419, 0.201)
La (0.581, 0.581, 0.799)
La (0.668, 0.905, 0.317)
La (0.795, 0.205, 0.000)
La (0.905, 0.668, 0.317)
Tb (0.311, 0.689, 0.500)
Tb (0.689, 0.311, 0.500)
Tm (0.000, 0.000, 0.000)

***

8.
PC | PBE-GGA | optimized geometry

Output
symmetry = No. 166
ΔE_f = 0.55 eV/atom

abc: 2.948 2.948 21.396
angles: 90.00 90.00 120.00
Fractional positions:
P (0.000, 0.000, 0.052)
P (0.000, 0.000, 0.948)
P (0.333, 0.667, 0.615)
P (0.333, 0.667, 0.718)
P (0.667, 0.333, 0.282)
P (0.667, 0.333, 0.385)
C (0.000, 0.000, 0.259)
C (0.000, 0.000, 0.741)
C (0.333, 0.667, 0.407)
C (0.333, 0.667, 0.926)
C (0.667, 0.333, 0.074)
C (0.667, 0.333, 0.593)